# 1
Material: AcBi2S4
Method: DFT, PBE
State: optimized geometry

abc: 7.9495 7.9517 7.9517
angles: 67.53 72.00 107.99
Fractional positions:
Ac: 0.5000 0.7500 0.7500
Ac: 0.0000 0.0000 0.0000
Bi: 0.7351 0.3601 0.8750
Bi: 0.2649 0.3899 0.3750
Bi: 0.2658 0.8750 0.3592
Bi: 0.7342 0.3750 0.3908
S: 0.3087 0.0546 0.6166
S: 0.1713 0.6754 0.1333
S: 0.6913 0.0746 0.2541
S: 0.6909 0.6166 0.0550
S: 0.3091 0.2541 0.0743
S: 0.8287 0.6954 0.4959
S: 0.8283 0.1333 0.6758
S: 0.1717 0.4959 0.6950

Values from the calculation:
For the theoretical density, the calculation gives 6.65 g/cm3. The total magnetization comes out at 0.0000 μB per atom. The value obtained for the formation energy from raw total energies is -0.880 eV per atom. As for the space-group type: No. 98.

***

# 2
Material: AlSbSCl2
Method: DFT, PBE
State: optimized geometry

abc: 5.3613 5.3613 5.1689
angles: 90.00 90.00 90.00
Fractional positions:
Sb: 0.0000 0.0000 0.0000
S: 0.0000 0.0000 0.5000
Al: 0.5000 0.5000 0.5000
Cl: 0.0000 0.5000 0.0000
Cl: 0.5000 0.0000 0.0000

Values from the calculation:
For the theoretical density, the calculation gives 2.81 g/cm3. The total magnetization comes out at 0.0000 μB per atom. The value obtained for the formation energy from raw total energies is -0.178 eV per atom. As for the space-group type: No. 123.

***

# 3
Material: CaY2Ta
Method: DFT, PBE
State: optimized geometry

abc: 3.8837 3.8837 7.9912
angles: 90.00 90.00 90.00
Fractional positions:
Y: 0.0000 0.0000 0.9530
Y: 0.5000 0.5000 0.2042
Ca: 0.0000 0.0000 0.5407
Ta: 0.5000 0.5000 0.8021

Values from the calculation:
For the theoretical density, the calculation gives 5.49 g/cm3. The total magnetization comes out at 0.1227 μB per atom. Its formation energy is 2.1 eV/f.u. As for the space-group type: No. 99.

***

> What is the theoretical density in the second record?

2.81 g/cm3

***

> Which value of theoretical density does entry 2 give?

2.81 g/cm3